w:
Density functional theory data (meta-GGA SCAN) for a PBEsol-optimized structure of CaSb2SI.

Total moment (μB/f.u.): 0.00

CIF file:
```
data_CaSb2SI
_chemical_formula_sum 'Ca1 Sb2 S1 I1'
_symmetry_space_group_name_H-M 'P 4/m m m'
_symmetry_Int_Tables_number 123
_symmetry_space_group_name_Hall '-P 4 2'
_cell_length_a 5.151
_cell_length_b 5.151
_cell_length_c 5.677
_cell_angle_alpha 90.00
_cell_angle_beta 90.00
_cell_angle_gamma 90.00
loop_
_atom_site_label
_atom_site_type_symbol
_atom_site_fract_x
_atom_site_fract_y
_atom_site_fract_z
_atom_site_occupancy
Ca1 Ca 0.000 0.000 0.000 1
Sb1 Sb 0.000 0.500 0.500 1
S1 S 0.500 0.500 0.500 1
I1 I 0.500 0.500 0.000 1
```


x:
Density functional theory data (meta-GGA SCAN) for a PBEsol-optimized structure of CaSb2SI.

Total moment (μB/f.u.): 0.00

CIF file:
```
data_CaSb2SI
_chemical_formula_sum 'Ca1 Sb2 S1 I1'
_symmetry_space_group_name_H-M 'P 4/m m m'
_symmetry_Int_Tables_number 123
_symmetry_space_group_name_Hall '-P 4 2'
_cell_length_a 5.787
_cell_length_b 5.787
_cell_length_c 5.458
_cell_angle_alpha 90.00
_cell_angle_beta 90.00
_cell_angle_gamma 90.00
loop_
_atom_site_label
_atom_site_type_symbol
_atom_site_fract_x
_atom_site_fract_y
_atom_site_fract_z
_atom_site_occupancy
Ca1 Ca 0.000 0.000 0.000 1
Sb1 Sb 0.000 0.500 0.000 1
S1 S 0.500 0.500 0.500 1
I1 I 0.000 0.000 0.500 1
```


Least stable structure among those shown: x.